Record 1
The following is a DFT calculation (PBE+U) of a relaxed Si2BiMoO crystal.

Results
D(E_F)   2.7 states/eV per cell
Electronic total energy   -4.94 eV/atom

abc: 4.336 4.811 4.336
angles: 90.00 90.00 90.00
Each line ends with the local moment (μB).
Fractional coordinates of all 5 atoms:
O (0.000, 0.000, 0.000)  -0.03
Mo (0.500, 0.500, 0.500)  3.38
Si (0.000, 0.000, 0.500)  -0.02
Si (0.500, 0.000, 0.000)  -0.01
Bi (0.000, 0.500, 0.000)  -0.09

---

Record 2
The following is a DFT calculation (PBE+U) of a relaxed SnBi2MoO crystal.

Results
D(E_F)   2.3 states/eV per cell
Electronic total energy   -4.76 eV/atom

abc: 5.292 4.317 5.292
angles: 90.00 90.00 90.00
Each line ends with the local moment (μB).
Fractional coordinates of all 5 atoms:
O (0.000, 0.000, 0.000)  0.06
Mo (0.000, 0.500, 0.000)  3.42
Bi (0.500, 0.000, 0.000)  -0.12
Bi (0.000, 0.000, 0.500)  -0.11
Sn (0.500, 0.500, 0.500)  0.03

---

Record 3
The following is a DFT calculation (PBE+U) of a relaxed SrBiMo2O8 crystal.

Results
Electronic total energy   -6.74 eV/atom

abc: 6.384 6.384 6.384
angles: 106.73 106.73 115.10
Each line ends with the local moment (μB).
Fractional coordinates of all 12 atoms:
O (0.390, 0.085, 0.305)  0.01
O (0.781, 0.085, 0.695)  0.01
O (0.915, 0.219, 0.305)  0.01
O (0.334, 0.516, 0.182)  0.00
O (0.334, 0.152, 0.818)  0.00
O (0.848, 0.666, 0.182)  0.00
O (0.915, 0.610, 0.695)  0.01
O (0.484, 0.666, 0.818)  0.00
Mo (0.750, 0.250, 0.500)  0.84
Mo (0.500, 0.500, 0.000)  0.05
Sr (0.250, 0.750, 0.500)  0.00
Bi (0.000, 0.000, 0.000)  0.06

---

Record 4
The following is a DFT calculation (PBE+U) of a relaxed Sr2BiMoO6 crystal.

Results
D(E_F)   0.0 states/eV per cell
Electronic total energy   -6.46 eV/atom

abc: 5.071 5.822 5.822
angles: 90.00 90.00 90.00
Each line ends with the local moment (μB).
Fractional coordinates of all 10 atoms:
O (0.718, 0.772, 0.772)  0.01
O (0.718, 0.772, 0.228)  0.01
O (0.232, 0.000, 0.000)  -0.04
O (0.718, 0.228, 0.228)  0.01
O (0.161, 0.500, 0.500)  -0.01
O (0.718, 0.228, 0.772)  0.01
Sr (0.004, 0.000, 0.500)  0.01
Sr (0.004, 0.500, 0.000)  0.01
Mo (0.588, 0.000, 0.000)  0.96
Bi (0.585, 0.500, 0.500)  0.00

---

Record 5
The following is a DFT calculation (PBE+U) of a relaxed SrBi2MoO8 crystal.

Results
D(E_F)   2.8 states/eV per cell
Electronic total energy   -6.17 eV/atom

abc: 5.126 5.123 7.003
angles: 90.00 90.00 88.58
Fractional coordinates of all 12 atoms:
O (0.185, 0.815, 0.801)
O (0.185, 0.815, 0.199)
O (0.279, 0.278, 0.000)
O (0.327, 0.325, 0.500)
O (0.721, 0.722, 0.000)
O (0.673, 0.675, 0.500)
O (0.815, 0.185, 0.199)
O (0.815, 0.185, 0.801)
Bi (0.500, 0.500, 0.755)
Bi (0.500, 0.500, 0.245)
Mo (0.000, 0.000, 0.000)
Sr (0.000, 0.000, 0.500)

---

Record 6
The following is a DFT calculation (PBE+U) of a relaxed TaBiMo2O crystal.

Results
D(E_F)   4.4 states/eV per cell
Electronic total energy   -5.07 eV/atom

abc: 5.148 5.391 5.148
angles: 90.00 90.00 90.00
Each line ends with the local moment (μB).
Fractional coordinates of all 5 atoms:
O (0.500, 0.500, 0.500)  -0.84
Mo (0.500, 0.000, 0.000)  3.50
Mo (0.000, 0.000, 0.500)  3.04
Bi (0.000, 0.500, 0.000)  -0.18
Ta (0.000, 0.000, 0.000)  -0.85